No. 1
Compound: Na3CoHg
Source: Alexandria via LeMat-Bulk
Functional: SCAN
Structure: PBEsol geometry

Lattice parameters (Å, degrees): 5.3034 5.3034 5.3034 90.00 90.00 90.00
Closest atoms and distances in Å follow each position.
Fractional positions:
Na: 0.0000 0.0000 0.5000  2 Co 2.65
Na: 0.0000 0.5000 0.0000  2 Co 2.65
Na: 0.5000 0.0000 0.0000  2 Co 2.65
Co: 0.0000 0.0000 0.0000  6 Na 2.65
Hg: 0.5000 0.5000 0.5000  12 Na 3.75

## Properties
Its formation energy is 0.503 eV per atom. The density of states at the Fermi level comes out at 0.544 states/eV per atom. The calculated volume is 29.83 A^3/atom. The energy is -1.4053 Ry/atom.

No. 2
Compound: CoNi3Hg
Source: Alexandria via LeMat-Bulk
Functional: SCAN
Structure: PBEsol geometry

Lattice parameters (Å, degrees): 4.5990 4.5990 4.5990 90.00 90.00 90.00
Closest atoms and distances in Å follow each position.
Fractional positions:
Co: 0.0000 0.0000 0.0000  12 Ni 3.25
Ni: 0.0000 0.5000 0.5000  2 Hg 2.30
Ni: 0.5000 0.0000 0.5000  2 Hg 2.30
Ni: 0.5000 0.5000 0.0000  2 Hg 2.30
Hg: 0.5000 0.5000 0.5000  6 Ni 2.30

## Properties
Its formation energy is 1.659 eV per atom. The density of states at the Fermi level comes out at 0.485 states/eV per atom. The calculated volume is 19.45 A^3/atom. The energy is -1.8477 Ry/atom.

No. 3
Compound: CoNiHg2Os
Source: Alexandria via LeMat-Bulk
Functional: SCAN
Structure: PBEsol geometry

Lattice parameters (Å, degrees): 4.6978 4.6978 4.4008 90.00 90.00 90.00
Closest atoms and distances in Å follow each position.
Fractional positions:
Co: 0.0000 0.0000 0.0000  8 Hg 3.22, 4 Os 3.32
Ni: 0.5000 0.5000 0.5000  2 Os 2.20, 4 Hg 2.35
Hg: 0.0000 0.5000 0.5000  2 Ni 2.35
Hg: 0.5000 0.0000 0.5000  2 Ni 2.35
Os: 0.5000 0.5000 0.0000  2 Ni 2.20

## Properties
Its formation energy is 1.394 eV per atom. The density of states at the Fermi level comes out at 0.595 states/eV per atom. The calculated volume is 19.42 A^3/atom. The energy is -3.4503 Ry/atom.

No. 4
Compound: CoHgO2
Source: Alexandria via LeMat-Bulk
Functional: SCAN
Structure: PBEsol geometry

Lattice parameters (Å, degrees): 5.6278 5.6278 5.6278 126.31 126.31 79.37
Closest atoms and distances in Å follow each position.
Fractional positions:
Co: 0.0000 0.0000 0.0000  4 O 1.88
Co: 0.7500 0.2500 0.5000  4 O 1.88
Hg: 0.2500 0.7500 0.5000  4 O 2.36
Hg: 0.5000 0.5000 0.0000  4 O 2.36
O: 0.0454 0.6250 0.9204  2 Co 1.88
O: 0.3750 0.2954 0.4204  2 Co 1.88
O: 0.7046 0.1250 0.0796  2 Co 1.88
O: 0.8750 0.9546 0.5796  2 Co 1.88

## Properties
The density of states at the Fermi level comes out at 0.465 states/eV per atom. The calculated volume is 13.98 A^3/atom. The energy is -1.8469 Ry/atom. The value obtained for the energy relative to the elements, uncorrected is -0.65 eV/atom.

No. 5
Compound: Co2HgO
Source: Alexandria via LeMat-Bulk
Functional: SCAN
Structure: PBEsol geometry

Lattice parameters (Å, degrees): 6.3994 6.3994 6.3994 137.92 137.92 61.03
Closest atoms and distances in Å follow each position.
Fractional positions:
Co: 0.0000 0.0000 0.0000  2 O 1.79
Co: 0.0000 0.0000 0.5000  2 O 1.79
Co: 0.0000 0.5000 0.0000  2 O 1.79
Co: 0.5000 0.0000 0.5000  2 O 1.79
Hg: 0.3750 0.6250 0.7500  8 Co 2.92, 4 O 3.25
Hg: 0.6250 0.3750 0.2500  8 Co 2.92, 4 O 3.25
O: 0.1250 0.8750 0.2500  4 Co 1.79
O: 0.8750 0.1250 0.7500  4 Co 1.79

## Properties
The density of states at the Fermi level comes out at 0.374 states/eV per atom. The calculated volume is 14.55 A^3/atom. The energy is -2.0176 Ry/atom. The value obtained for the energy relative to the elements, uncorrected is -0.20 eV/atom.

No. 6
Compound: Co3HgO
Source: Alexandria via LeMat-Bulk
Functional: SCAN
Structure: PBEsol geometry

Lattice parameters (Å, degrees): 3.8392 3.8392 3.8392 90.00 90.00 90.00
Closest atoms and distances in Å follow each position.
Fractional positions:
Co: 0.0000 0.0000 0.5000  2 O 1.92
Co: 0.0000 0.5000 0.0000  2 O 1.92
Co: 0.5000 0.0000 0.0000  2 O 1.92
Hg: 0.5000 0.5000 0.5000  12 Co 2.71
O: 0.0000 0.0000 0.0000  6 Co 1.92

## Properties
The density of states at the Fermi level comes out at 0.457 states/eV per atom. The calculated volume is 11.32 A^3/atom. The energy is -1.8600 Ry/atom. The value obtained for the energy relative to the elements, uncorrected is -0.05 eV/atom.

No. 7
Compound: CoHgOs2
Source: Alexandria via LeMat-Bulk
Functional: SCAN
Structure: PBEsol geometry

Lattice parameters (Å, degrees): 5.5261 5.5261 4.3888 113.28 113.28 28.32
Closest atoms and distances in Å follow each position.
Fractional positions:
Co: 0.0000 0.0000 0.0000  4 Os 2.49, 4 Hg 2.58, 2 Co 2.70
Hg: 0.5000 0.5000 0.5000  4 Co 2.58, 2 Hg 2.70
Os: 0.2862 0.2862 0.7863  2 Co 2.49, 6 Os 2.67-2.70
Os: 0.7138 0.7138 0.2137  2 Co 2.49, 6 Os 2.67-2.70

## Properties
Its formation energy is 0.653 eV per atom. The density of states at the Fermi level comes out at 0.929 states/eV per atom. The calculated volume is 14.52 A^3/atom. The energy is -4.1640 Ry/atom.

No. 8
Compound: CoHgOs2
Source: Alexandria via LeMat-Bulk
Functional: SCAN
Structure: PBEsol geometry

Lattice parameters (Å, degrees): 2.8734 2.8734 6.9949 90.00 90.00 90.00
Closest atoms and distances in Å follow each position.
Fractional positions:
Co: 0.0000 0.0000 0.0000  8 Os 2.46
Hg: 0.0000 0.0000 0.5000  4 Hg 2.87, 8 Os 2.93
Os: 0.5000 0.5000 0.1975  4 Co 2.46
Os: 0.5000 0.5000 0.8025  4 Co 2.46

## Properties
Its formation energy is 0.745 eV per atom. The density of states at the Fermi level comes out at 0.661 states/eV per atom. The calculated volume is 14.44 A^3/atom. The energy is -4.1573 Ry/atom.

Q: Among the records above, which one has the highest calculated volume?
A: Na3CoHg

Q: Among the records above, which one has the lowest energy?
A: number 7